1.
The following is a GGA-PBE calculation of a relaxed structure of Np2GeSb, from Alexandria via LeMat-Bulk.

Cell lengths 4.233, 4.715, 4.715 Å; angles 90.00, 90.00, 90.00 degrees
Last column: magnetic moment on the atom in μB.
Sites, in units of the cell vectors:
Ge 0.500 0.500 0.500  -0.07
Np 0.000 0.000 0.500  4.15
Sb 0.500 0.000 0.000  -0.06
Np 0.000 0.500 0.000  4.15

Values from the calculation:
The calculation puts the formation energy without anion corrections at -0.112 eV per atom. The value obtained for the energy above the most stable polymorph in this dataset is 107.8 meV/atom.

---

2.
The following is a GGA-PBE calculation of a relaxed structure of Np2GeSb, from Alexandria via LeMat-Bulk.

Cell lengths 3.958, 3.958, 5.907 Å; angles 90.00, 90.00, 90.00 degrees
Last column: magnetic moment on the atom in μB.
Sites, in units of the cell vectors:
Np 0.000 0.000 0.230  4.09
Ge 0.500 0.500 0.000  -0.11
Np 0.000 0.000 0.770  4.09
Sb 0.500 0.500 0.500  -0.11

Values from the calculation:
The calculation puts the formation energy without anion corrections at -0.220 eV per atom. The value obtained for the energy above the most stable polymorph in this dataset is 0.0 meV/atom.

---

3.
The following is a GGA-PBE calculation of a relaxed structure of Np2GeSb4, from Alexandria via LeMat-Bulk.

Cell lengths 4.465, 4.465, 9.228 Å; angles 90.00, 90.00, 90.00 degrees
Last column: magnetic moment on the atom in μB.
Sites, in units of the cell vectors:
Np 0.500 0.000 0.765  3.97
Np 0.000 0.500 0.235  3.97
Ge 0.500 0.500 0.000  0.06
Sb 0.500 0.000 0.183  -0.04
Sb 0.500 0.500 0.500  -0.01
Sb 0.000 0.500 0.817  -0.04
Sb 0.000 0.000 0.500  -0.05

Values from the calculation:
The calculation puts the formation energy without anion corrections at -0.104 eV per atom.

---

4.
The following is a GGA-PBE calculation of a relaxed structure of NpGeSb2, from Alexandria via LeMat-Bulk.

Cell lengths 4.553, 4.554, 4.554 Å; angles 90.00, 90.00, 90.00 degrees
Last column: magnetic moment on the atom in μB.
Sites, in units of the cell vectors:
Sb 0.000 0.500 0.000  -0.04
Np 0.500 0.500 0.500  3.72
Ge 0.500 0.000 0.000  -0.03
Sb 0.000 0.000 0.500  -0.04

Values from the calculation:
The calculation puts the formation energy without anion corrections at -0.125 eV per atom. The value obtained for the energy above the most stable polymorph in this dataset is 0.0 meV/atom.

---

5.
The following is a GGA-PBE calculation of a relaxed structure of Np2GeSb, from Alexandria via LeMat-Bulk.

Cell lengths 4.330, 4.330, 7.143 Å; angles 72.36, 72.36, 60.00 degrees
Last column: magnetic moment on the atom in μB.
Sites, in units of the cell vectors:
Np 0.742 0.742 0.773  3.52
Ge 0.000 0.000 0.000  -0.16
Sb 0.500 0.500 0.500  -0.12
Np 0.258 0.258 0.227  3.52

Values from the calculation:
The calculation puts the formation energy without anion corrections at -0.028 eV per atom. The value obtained for the energy above the most stable polymorph in this dataset is 192.2 meV/atom.

---

6.
The following is a GGA-PBE calculation of a relaxed structure of NpScGe, from Alexandria via LeMat-Bulk.

Cell lengths 3.369, 3.369, 11.318 Å; angles 98.56, 98.56, 90.00 degrees
Sites, in units of the cell vectors:
Ge 0.143 0.143 0.286
Sc 0.573 0.573 0.146
Ge 0.857 0.857 0.714
Sc 0.427 0.427 0.854
Np 0.272 0.272 0.544
Np 0.728 0.728 0.456

Values from the calculation:
The energy of formation comes out at -223 meV per atom.

---

7.
The following is a GGA-PBE calculation of a relaxed structure of NpGe2Se6, from Alexandria via LeMat-Bulk.

Cell lengths 6.736, 8.858, 8.858 Å; angles 84.57, 83.41, 83.41 degrees
Last column: magnetic moment on the atom in μB.
Sites, in units of the cell vectors:
Se 0.134 0.125 0.602  -0.10
Se 0.865 0.537 0.714  -0.01
Se 0.366 0.398 0.875  -0.10
Se 0.635 0.286 0.463  -0.01
Ge 0.823 0.383 0.234  0.02
Se 0.364 0.039 0.197  -0.09
Np 0.250 0.110 0.890  3.40
Ge 0.323 0.234 0.383  0.02
Se 0.636 0.961 0.803  -0.09
Se 0.365 0.714 0.537  -0.01
Se 0.864 0.197 0.039  -0.09
Ge 0.177 0.617 0.766  0.02
Np 0.750 0.890 0.110  3.40
Se 0.136 0.803 0.961  -0.09
Ge 0.677 0.766 0.617  0.02
Se 0.866 0.875 0.398  -0.10
Se 0.135 0.463 0.286  -0.01
Se 0.634 0.602 0.125  -0.10

Values from the calculation:
The calculation puts the formation energy without anion corrections at -0.415 eV per atom.

---

8.
The following is a GGA-PBE calculation of a relaxed structure of Np2GeSe, from Alexandria via LeMat-Bulk.

Cell lengths 3.435, 3.435, 7.404 Å; angles 90.00, 90.00, 90.00 degrees
Last column: magnetic moment on the atom in μB.
Sites, in units of the cell vectors:
Np 0.000 0.000 0.248  4.06
Np 0.000 0.000 0.752  4.06
Ge 0.500 0.500 0.000  -0.10
Se 0.500 0.500 0.500  -0.12

Values from the calculation:
The calculation puts the formation energy without anion corrections at -0.477 eV per atom. The value obtained for the energy above the most stable polymorph in this dataset is 37.5 meV/atom.

---

Number 1: calculated volume 94.1 Å³ per cell. Number 2: calculated volume 92.5 Å³ per cell. Number 3: calculated volume 183.9 Å³ per cell. Number 4: calculated volume 94.4 Å³ per cell. Number 5: calculated volume 108.6 Å³ per cell. Number 6: calculated volume 125.6 Å³ per cell. Number 7: calculated volume 519.8 Å³ per cell. Number 8: calculated volume 87.4 Å³ per cell.